# 1
! PBE ZnCuTePdO, relaxed; values from VASP
&SYSTEM
  ibrav = 0, nat = 5, ntyp = 5
/
ATOMIC_SPECIES
O 16.00 O.upf
Pd 106.42 Pd.upf
Zn 65.41 Zn.upf
Cu 63.55 Cu.upf
Te 127.60 Te.upf
CELL_PARAMETERS angstrom
3.4503 -0.0093 -0.0001
-1.7181 4.5600 -0.0058
0.0002 -1.0029 6.3925
ATOMIC_POSITIONS crystal
O 0.5064 0.9811 0.6081
Pd 0.8938 0.7564 0.0794
Zn 0.9998 0.9678 0.4880
Cu 0.5699 0.1095 0.9035
Te 0.1952 0.3599 0.1788
! * crystal system: monoclinic
! * E: -20.8 eV per cell
! * energy above the most stable polymorph in this dataset: 0.0000 eV per atom
! * space group: Cm, No. 8
! * formation energy (no corrections): -0.426 eV per atom

---

# 2
! PBE ZnCuTePdO, relaxed; values from VASP
&SYSTEM
  ibrav = 0, nat = 10, ntyp = 5
/
ATOMIC_SPECIES
Pd 106.42 Pd.upf
Cu 63.55 Cu.upf
Te 127.60 Te.upf
Zn 65.41 Zn.upf
O 16.00 O.upf
CELL_PARAMETERS angstrom
4.3791 0.0000 0.0146
0.0000 3.1540 0.0000
-2.0702 0.0000 12.5164
ATOMIC_POSITIONS crystal
Pd 0.4190 0.0000 0.3178
Pd 0.4190 0.5000 0.8178
Cu 0.5180 0.0000 0.5398
Cu 0.5180 0.5000 0.0398
Te 0.8120 0.5000 0.6848
Te 0.8120 0.0000 0.1848
Zn 0.8523 0.5000 0.4250
Zn 0.8523 0.0000 0.9250
O 0.1323 0.5000 0.9452
O 0.1323 0.0000 0.4452
! * crystal system: monoclinic
! * E: -41.5 eV per cell
! * energy above the most stable polymorph in this dataset: 0.0093 eV per atom
! * space group: Cm, No. 8
! * formation energy (no corrections): -0.417 eV per atom

---

# 3
! PBE ZnCuTePdO, relaxed; values from VASP
&SYSTEM
  ibrav = 0, nat = 10, ntyp = 5
/
ATOMIC_SPECIES
Zn 65.41 Zn.upf
Pd 106.42 Pd.upf
Te 127.60 Te.upf
O 16.00 O.upf
Cu 63.55 Cu.upf
CELL_PARAMETERS angstrom
-0.8577 -0.5525 2.9501
-1.1574 -3.5123 -0.9943
12.6039 -4.9292 2.7410
ATOMIC_POSITIONS crystal
Zn 0.5000 0.5000 0.5970
Zn 0.5000 0.0000 0.0970
Pd 0.0000 0.0000 0.6957
Pd 0.0000 0.5000 0.1957
Te 0.5000 0.5000 0.8021
Te 0.5000 0.0000 0.3021
O 0.0000 0.0000 0.0047
O 0.0000 0.5000 0.5047
Cu 0.0000 0.0000 0.4878
Cu 0.0000 0.5000 0.9878
! * crystal system: orthorhombic
! * E: -41.3 eV per cell
! * energy above the most stable polymorph in this dataset: 0.0244 eV per atom
! * space group: Amm2, No. 38
! * formation energy (no corrections): -0.402 eV per atom

---

Question: Which value of energy above the most stable polymorph in this dataset does entry 1 give?
Answer: 0.0000 eV per atom